(1)
Compound: Er2Tm8Mg
Source: Alexandria
Functional: PBE
Structure: optimized geometry

## Properties
**Crystal system**: monoclinic
**Formation energy from the elements**: 170 meV per atom
**Energy above the most stable polymorph in this dataset**: 0.69 eV per formula unit
**Space-group type**: C2/m
**Raw total energy**: -4.056 eV/atom

abc: 6.553 9.846 9.846
angles: 38.37 59.80 59.80
Sites, in units of the cell vectors:
Tm: 0.225 0.823 0.341
Er: 0.423 0.188 0.188
Tm: 0.775 0.177 0.659
Tm: 0.828 0.246 0.246
Tm: 0.225 0.341 0.823
Mg: 0.000 0.000 0.000
Tm: 0.775 0.659 0.177
Tm: 0.172 0.754 0.754
Tm: 0.725 0.594 0.594
Tm: 0.275 0.406 0.406
Er: 0.577 0.812 0.812

=====

(2)
Compound: Ag7Au5
Source: Alexandria
Functional: PBE
Structure: optimized geometry

## Properties
**Crystal system**: orthorhombic
**Formation energy from the elements**: -24 meV per atom
**Energy above the most stable polymorph in this dataset**: 0.00 eV per formula unit
**Space-group type**: Pmm2
**Raw total energy**: -3.052 eV/atom

abc: 2.915 8.439 8.754
angles: 90.00 90.00 90.00
Sites, in units of the cell vectors:
Au: 0.000 0.998 0.831
Au: 0.500 0.252 0.669
Ag: 0.500 0.749 0.334
Au: 0.000 0.998 0.169
Au: 0.000 0.501 0.500
Ag: 0.000 0.500 0.836
Ag: 0.500 0.248 0.000
Ag: 0.500 0.749 0.666
Ag: 0.000 0.500 0.164
Ag: 0.500 0.751 0.000
Au: 0.500 0.252 0.331
Ag: 0.000 0.002 0.500

=====

(3)
Compound: TlFe2As
Source: Alexandria
Functional: PBE
Structure: optimized geometry

## Properties
**Crystal system**: trigonal
**Formation energy from the elements**: 342 meV per atom
**Energy above the most stable polymorph in this dataset**: 0.58 eV per formula unit
**Space-group type**: R3m
**Raw total energy**: -5.643 eV/atom

abc: 8.650 8.650 8.650
angles: 20.75 20.75 20.75
Sites, in units of the cell vectors:
Tl: 0.507 0.507 0.507
Fe: 0.266 0.266 0.266
As: 0.729 0.729 0.729
Fe: 0.998 0.998 0.998

=====

(4)
Compound: PuTh2Fe
Source: Alexandria
Functional: PBE
Structure: optimized geometry

## Properties
**Crystal system**: trigonal
**Formation energy from the elements**: 140 meV per atom
**Energy above the most stable polymorph in this dataset**: 0.64 eV per formula unit
**Space-group type**: R3m
**Raw total energy**: -9.268 eV/atom

abc: 3.843 3.843 8.913
angles: 77.55 77.55 60.00
Sites, in units of the cell vectors:
Th: 0.059 0.059 0.824
Th: 0.275 0.275 0.176
Fe: 0.664 0.664 0.007
Pu: 0.503 0.503 0.492